TlSiSb: relaxed, GGA-PBEsol.

- M_tot: 0.0 μB/f.u.
- E: -10.84 eV per formula unit
- Energy relative to the lowest polymorph listed for this composition: 334 meV per atom
- Crystal system: cubic

Cell lengths 6.928, 6.928, 6.928 Å; angles 90.00, 90.00, 90.00 degrees
Space group F-43m (No. 216)
Unique sites:
Tl (0.000, 0.000, 0.000) x4
Si (0.250, 0.250, 0.250) x4
Sb (0.250, 0.250, 0.750) x4

---

V4SiSb2: relaxed, GGA-PBEsol.

- M_tot: 0.0 μB/f.u.
- E: -55.88 eV per formula unit
- Crystal system: tetragonal

Cell lengths 9.725, 9.725, 4.644 Å; angles 90.00, 90.00, 90.00 degrees
Space group I4/mcm (No. 140)
Unique sites:
V (0.086, 0.206, 0.000) x16
Si (0.000, 0.000, 0.250) x4
Sb (0.140, 0.360, 0.500) x8

---

SiSbW3: relaxed, GGA-PBEsol.

- M_tot: 0.0 μB/f.u.
- E: -44.93 eV per formula unit
- Crystal system: cubic

Cell lengths 4.499, 4.499, 4.499 Å; angles 90.00, 90.00, 90.00 degrees
Space group Pm-3m (No. 221)
Unique sites:
Si (0.000, 0.000, 0.000) x1
Sb (0.500, 0.500, 0.500) x1
W (0.000, 0.000, 0.500) x3

---

In meV/atom, the energy relative to the elements, uncorrected values for the records above are, in order, 697.9; -353.9; 1360.3.